Entry 1:
# ZnNiOs2

An optimized crystal structure of ZnNiOs2 (GGA-PBE, Alexandria via LeMat-Bulk).

Values from the calculation:
* size of the total moment: 0.001 μB per cell
* energy relative to the elements: 0.3705 eV per atom
* energy: -28.03 eV per cell
* SG: Cmmm

Cell lengths 2.658, 2.658, 8.798 Å; angles 90.00, 90.00, 117.59 degrees
Fractional positions:
Os 0.000 0.000 0.507
Ni 0.500 0.500 0.750
Zn 0.500 0.500 0.250
Os 0.000 0.000 0.993


Entry 2:
# Tb7Ho4Cd

An optimized crystal structure of Tb7Ho4Cd (GGA-PBE, Alexandria via LeMat-Bulk).

Values from the calculation:
* size of the total moment: 0.000 μB per cell
* energy relative to the elements: -0.0105 eV per atom
* energy: -51.76 eV per cell
* SG: P-3m1

Cell lengths 3.551, 3.551, 33.975 Å; angles 90.00, 90.00, 120.00 degrees
Fractional positions:
Tb 0.667 0.333 0.575
Ho 0.667 0.333 0.085
Tb 0.000 0.000 0.000
Ho 0.333 0.667 0.660
Tb 0.333 0.667 0.170
Tb 0.667 0.333 0.830
Tb 0.000 0.000 0.745
Ho 0.333 0.667 0.915
Cd 0.000 0.000 0.500
Tb 0.333 0.667 0.425
Ho 0.667 0.333 0.340
Tb 0.000 0.000 0.255


Entry 3:
# MnRe2Ru

An optimized crystal structure of MnRe2Ru (GGA-PBE, Alexandria via LeMat-Bulk).

Values from the calculation:
* size of the total moment: 0.948 μB per cell
* energy relative to the elements: 0.0899 eV per atom
* energy: -42.98 eV per cell
* SG: P4mm

Cell lengths 2.712, 2.712, 7.531 Å; angles 90.00, 90.00, 90.00 degrees
Fractional positions:
Mn 0.500 0.500 0.749
Re 0.000 0.000 0.982
Ru 0.000 0.000 0.512
Re 0.500 0.500 0.257


Entry 4:
# LiPrLuHg

An optimized crystal structure of LiPrLuHg (GGA-PBE, Alexandria via LeMat-Bulk).

Values from the calculation:
* size of the total moment: 0.011 μB per cell
* energy relative to the elements: -0.1925 eV per atom
* energy: -12.29 eV per cell
* SG: F-43m

Cell lengths 5.287, 5.287, 5.287 Å; angles 60.00, 60.00, 60.00 degrees
Fractional positions:
Hg 0.500 0.500 0.500
Li 0.000 0.000 0.000
Pr 0.250 0.250 0.250
Lu 0.750 0.750 0.750


Entry 5:
# Sm2CrP3Rh12

An optimized crystal structure of Sm2CrP3Rh12 (GGA-PBE, Alexandria via LeMat-Bulk).

Values from the calculation:
* size of the total moment: 2.756 μB per cell
* energy relative to the elements: -0.1904 eV per atom
* energy: -126.94 eV per cell
* SG: R-3m

Cell lengths 6.942, 6.942, 6.942 Å; angles 75.71, 75.71, 75.71 degrees
Fractional positions:
Rh 0.664 0.087 0.664
Sm 0.609 0.609 0.609
Rh 0.336 0.336 0.913
P 0.000 0.000 0.500
P 0.000 0.500 0.000
P 0.500 0.000 0.000
Rh 0.848 0.356 0.848
Rh 0.664 0.664 0.087
Rh 0.336 0.913 0.336
Rh 0.848 0.848 0.356
Sm 0.391 0.391 0.391
Rh 0.644 0.152 0.152
Rh 0.087 0.664 0.664
Rh 0.913 0.336 0.336
Cr 0.000 0.000 0.000
Rh 0.356 0.848 0.848
Rh 0.152 0.644 0.152
Rh 0.152 0.152 0.644


Entry 6:
# Pr7SnI12

An optimized crystal structure of Pr7SnI12 (GGA-PBE, Alexandria via LeMat-Bulk).

Values from the calculation:
* size of the total moment: 0.000 μB per cell
* ΔE_f (raw): -1278 meV per atom
* energy: -81.63 eV per cell
* SG: R-3

Cell lengths 10.147, 10.147, 10.147 Å; angles 108.10, 108.10, 108.10 degrees
Fractional positions:
Sn 0.000 0.000 0.000
Pr 0.330 0.111 0.040
I 0.606 0.527 0.844
I 0.527 0.844 0.606
Pr 0.500 0.500 0.500
I 0.767 0.921 0.308
I 0.079 0.692 0.233
I 0.308 0.767 0.921
Pr 0.889 0.960 0.670
I 0.156 0.394 0.473
I 0.692 0.233 0.079
I 0.394 0.473 0.156
I 0.233 0.079 0.692
I 0.473 0.156 0.394
Pr 0.111 0.040 0.330
I 0.921 0.308 0.767
Pr 0.670 0.889 0.960
I 0.844 0.606 0.527
Pr 0.960 0.670 0.889
Pr 0.040 0.330 0.111


Entry 7:
# CaPIrS2

An optimized crystal structure of CaPIrS2 (GGA-PBE, Alexandria via LeMat-Bulk).

Values from the calculation:
* size of the total moment: 0.000 μB per cell
* ΔE_f (raw): -331 meV per atom
* energy: -26.18 eV per cell
* SG: P4/mmm

Cell lengths 5.013, 5.013, 4.331 Å; angles 90.00, 90.00, 90.00 degrees
Fractional positions:
S 0.500 0.000 0.000
Ir 0.000 0.000 0.000
P 0.000 0.000 0.500
S 0.000 0.500 0.000
Ca 0.500 0.500 0.500


Entry 8:
# CsHfB2Cl

An optimized crystal structure of CsHfB2Cl (GGA-PBE, Alexandria via LeMat-Bulk).

Values from the calculation:
* size of the total moment: 0.000 μB per cell
* ΔE_f (raw): 912 meV per atom
* energy: -21.45 eV per cell
* SG: P4/mmm

Cell lengths 4.539, 13.090, 4.539 Å; angles 90.00, 90.00, 90.00 degrees
Fractional positions:
Cs 0.000 0.500 0.000
Cl 0.500 0.500 0.500
B 0.000 0.000 0.500
Hf 0.000 0.000 0.000
B 0.500 0.000 0.000


Entry 9:
# Rb2Li2TeO6

An optimized crystal structure of Rb2Li2TeO6 (GGA-PBE, Alexandria via LeMat-Bulk).

Values from the calculation:
* size of the total moment: 2.003 μB per cell
* ΔE_f (raw): -1263 meV per atom
* energy: -52.55 eV per cell
* SG: P-31m

Cell lengths 5.529, 5.529, 6.348 Å; angles 90.00, 90.00, 120.00 degrees
Fractional positions:
O 0.294 0.000 0.832
Li 0.667 0.333 0.000
Li 0.333 0.667 0.000
O 0.706 0.000 0.168
O 0.294 0.294 0.168
Rb 0.333 0.667 0.500
O 0.000 0.706 0.168
Rb 0.667 0.333 0.500
O 0.706 0.706 0.832
O 0.000 0.294 0.832
Te 0.000 0.000 0.000


Entry 10:
# ThZnGe2Rh5

An optimized crystal structure of ThZnGe2Rh5 (GGA-PBE, Alexandria via LeMat-Bulk).

Values from the calculation:
* size of the total moment: 0.000 μB per cell
* energy relative to the elements: -0.4079 eV per atom
* energy: -58.36 eV per cell
* SG: P4/mmm

Cell lengths 4.600, 4.600, 7.362 Å; angles 90.00, 90.00, 90.00 degrees
Fractional positions:
Ge 0.500 0.500 0.836
Rh 0.500 0.500 0.500
Ge 0.500 0.500 0.164
Rh 0.500 0.000 0.231
Rh 0.000 0.500 0.769
Th 0.000 0.000 0.500
Rh 0.500 0.000 0.769
Rh 0.000 0.500 0.231
Zn 0.000 0.000 0.000


Entry 11:
# Nd2MgTe

An optimized crystal structure of Nd2MgTe (GGA-PBE, Alexandria via LeMat-Bulk).

Values from the calculation:
* size of the total moment: 0.000 μB per cell
* ΔE_f (raw): -637 meV per atom
* energy: -16.82 eV per cell
* SG: R-3m

Cell lengths 4.281, 4.281, 8.629 Å; angles 75.64, 75.64, 60.00 degrees
Fractional positions:
Nd 0.756 0.756 0.732
Nd 0.244 0.244 0.268
Mg 0.000 0.000 0.000
Te 0.500 0.500 0.500


Entry 12:
# CoTeAsI2

An optimized crystal structure of CoTeAsI2 (GGA-PBE, Alexandria via LeMat-Bulk).

Values from the calculation:
* size of the total moment: 0.334 μB per cell
* ΔE_f (raw): 580 meV per atom
* energy: -15.10 eV per cell
* SG: P4/mmm

Cell lengths 5.168, 5.168, 4.999 Å; angles 90.00, 90.00, 90.00 degrees
Fractional positions:
I 0.500 0.000 0.000
I 0.000 0.500 0.000
Co 0.000 0.000 0.000
Te 0.000 0.000 0.500
As 0.500 0.500 0.500


Entry 13:
# LaHo2MoN4

An optimized crystal structure of LaHo2MoN4 (GGA-PBE, Alexandria via LeMat-Bulk).

Values from the calculation:
* size of the total moment: 0.000 μB per cell
* ΔE_f (raw): -1188 meV per atom
* energy: -135.45 eV per cell
* SG: Cmcm

Cell lengths 3.442, 6.202, 11.908 Å; angles 90.00, 90.00, 106.11 degrees
Fractional positions:
Mo 0.829 0.658 0.750
N 0.000 0.000 0.500
La 0.087 0.174 0.750
N 0.430 0.861 0.750
N 0.570 0.139 0.250
Ho 0.629 0.259 0.040
N 0.000 0.000 0.000
N 0.738 0.475 0.618
N 0.738 0.475 0.882
La 0.913 0.826 0.250
Ho 0.371 0.741 0.960
N 0.262 0.525 0.118
Ho 0.629 0.259 0.460
Ho 0.371 0.741 0.540
N 0.262 0.525 0.382
Mo 0.171 0.342 0.250


Entry 14:
# Ag8SeCl6

An optimized crystal structure of Ag8SeCl6 (GGA-PBE, Alexandria via LeMat-Bulk).

Values from the calculation:
* size of the total moment: 0.000 μB per cell
* ΔE_f (raw): -328 meV per atom
* energy: -42.29 eV per cell
* SG: R-3

Cell lengths 7.142, 7.142, 7.142 Å; angles 100.50, 100.50, 100.50 degrees
Fractional positions:
Cl 0.868 0.667 0.405
Cl 0.405 0.868 0.667
Ag 0.117 0.682 0.812
Ag 0.293 0.293 0.293
Se 0.000 0.000 0.000
Cl 0.667 0.405 0.868
Ag 0.883 0.318 0.188
Cl 0.132 0.333 0.595
Ag 0.812 0.117 0.682
Ag 0.707 0.707 0.707
Ag 0.318 0.188 0.883
Cl 0.595 0.132 0.333
Ag 0.188 0.883 0.318
Ag 0.682 0.812 0.117
Cl 0.333 0.595 0.132


Entry 15:
# SmEr3Bi4

An optimized crystal structure of SmEr3Bi4 (GGA-PBE, Alexandria via LeMat-Bulk).

Values from the calculation:
* size of the total moment: 0.000 μB per cell
* energy relative to the elements: -0.8399 eV per atom
* energy: -40.65 eV per cell
* SG: Pm-3m

Cell lengths 6.326, 6.326, 6.326 Å; angles 90.00, 90.00, 90.00 degrees
Fractional positions:
Bi 0.500 0.500 0.500
Er 0.000 0.500 0.500
Bi 0.500 0.000 0.000
Er 0.500 0.500 0.000
Bi 0.000 0.500 0.000
Bi 0.000 0.000 0.500
Er 0.500 0.000 0.500
Sm 0.000 0.000 0.000


Entry 16:
# SrLa3Tl2

An optimized crystal structure of SrLa3Tl2 (GGA-PBE, Alexandria via LeMat-Bulk).

Values from the calculation:
* size of the total moment: 1.351 μB per cell
* energy relative to the elements: -0.3097 eV per atom
* energy: -46.11 eV per cell
* SG: Pmc2_1

Cell lengths 5.658, 7.279, 9.928 Å; angles 90.00, 90.00, 90.00 degrees
Fractional positions:
La 0.500 0.721 0.163
La 0.000 0.496 0.976
La 0.500 0.221 0.837
Sr 0.500 0.503 0.526
Tl 0.500 0.747 0.836
Tl 0.000 0.754 0.336
Tl 0.000 0.254 0.664
La 0.000 0.996 0.024
Tl 0.500 0.247 0.164
La 0.000 0.279 0.328
La 0.000 0.779 0.672
Sr 0.500 0.003 0.474


Entry 17:
# Mn5Tl3S12

An optimized crystal structure of Mn5Tl3S12 (GGA-PBE, Alexandria via LeMat-Bulk).

Values from the calculation:
* size of the total moment: 56.326 μB per cell
* ΔE_f (raw): -306 meV per atom
* energy: -434.35 eV per cell
* SG: Ia-3d

Cell lengths 13.113, 13.113, 13.113 Å; angles 109.47, 109.47, 109.47 degrees
Fractional positions:
Mn 0.250 0.375 0.625
S 0.396 0.011 0.316
S 0.921 0.104 0.615
Tl 0.250 0.625 0.875
S 0.079 0.184 0.195
S 0.079 0.896 0.385
S 0.511 0.316 0.896
S 0.316 0.805 0.421
S 0.989 0.385 0.305
S 0.579 0.695 0.684
Mn 0.125 0.375 0.250
S 0.604 0.615 0.421
S 0.615 0.604 0.921
S 0.579 0.885 0.396
Mn 0.375 0.250 0.125
S 0.184 0.079 0.695
Mn 0.375 0.125 0.750
S 0.885 0.579 0.896
Mn 0.875 0.250 0.625
Tl 0.250 0.125 0.375
S 0.195 0.684 0.079
S 0.989 0.604 0.184
Tl 0.125 0.875 0.750
Mn 0.875 0.625 0.750
S 0.421 0.115 0.604
S 0.011 0.396 0.816
S 0.385 0.396 0.079
S 0.489 0.805 0.885
Tl 0.750 0.875 0.625
S 0.695 0.115 0.011
S 0.104 0.184 0.489
Tl 0.625 0.250 0.375
S 0.421 0.305 0.316
Mn 0.000 0.000 0.500
S 0.104 0.921 0.115
Mn 0.000 0.500 0.000
Tl 0.625 0.375 0.750
Mn 0.000 0.500 0.500
S 0.396 0.385 0.579
S 0.011 0.615 0.695
Mn 0.750 0.125 0.875
Mn 0.750 0.625 0.375
Mn 0.500 0.000 0.500
Mn 0.500 0.000 0.000
Mn 0.000 0.000 0.000
S 0.615 0.011 0.195
Tl 0.750 0.375 0.125
Mn 0.500 0.500 0.000
S 0.805 0.316 0.921
S 0.885 0.305 0.489
S 0.921 0.816 0.805
S 0.511 0.195 0.115
S 0.305 0.885 0.989
S 0.816 0.921 0.305
Tl 0.875 0.125 0.250
S 0.684 0.195 0.579
Mn 0.500 0.500 0.500
S 0.896 0.079 0.885
Mn 0.125 0.750 0.375
S 0.316 0.511 0.396
Mn 0.625 0.750 0.875
S 0.695 0.579 0.184
S 0.805 0.489 0.385
S 0.816 0.896 0.011
Tl 0.375 0.750 0.625
S 0.896 0.816 0.511
S 0.604 0.989 0.684
S 0.195 0.511 0.615
S 0.385 0.989 0.805
Tl 0.375 0.625 0.250
S 0.184 0.104 0.989
S 0.115 0.695 0.511
S 0.489 0.684 0.104
Mn 0.625 0.875 0.250
Tl 0.125 0.250 0.875
S 0.305 0.421 0.816
S 0.684 0.489 0.604
Mn 0.250 0.875 0.125
S 0.115 0.421 0.104
Tl 0.875 0.750 0.125


Entry 18:
# LaCoRe2

An optimized crystal structure of LaCoRe2 (GGA-PBE, Alexandria via LeMat-Bulk).

Values from the calculation:
* size of the total moment: 2.442 μB per cell
* energy relative to the elements: 0.9274 eV per atom
* energy: -33.22 eV per cell
* SG: Fm-3m

Cell lengths 4.563, 4.563, 4.563 Å; angles 60.00, 60.00, 60.00 degrees
Fractional positions:
Re 0.750 0.750 0.750
Re 0.250 0.250 0.250
Co 0.000 0.000 0.000
La 0.500 0.500 0.500